Crystalline CsMnGe2H at its relaxed geometry. Source: Alexandria via LeMat-Bulk, functional PBE-GGA.

Properties
- energy (hartree per atom) = -0.15009
- total magnetization (μB per formula unit) = 1.4

abc: 4.5463 7.4067 4.5463
angles: 90.00 90.00 90.00
With the nearest neighbours (Å) after each atom.
Atoms (fractional coordinates):
Ge: 0.5000 0.0000 0.0000  2 Mn 2.27
Ge: 0.0000 0.0000 0.5000  2 Mn 2.27
H: 0.5000 0.5000 0.5000  4 Cs 3.21
Cs: 0.0000 0.5000 0.0000  4 H 3.21
Mn: 0.0000 0.0000 0.0000  4 Ge 2.27